i) Computed, not measured: CaLaZnIr after structural relaxation at the GGA-PBE level of DFT.

Lattice parameters (Å, degrees): 4.1643 4.1837 11.4431 90.00 90.00 90.00
Last column: nearest neighbours and their distance in Å.
Space group Amm2 (No. 38)
Unique sites:
Ca (0.0000, 0.0000, 0.0000) (multiplicity 2)  4 Zn 3.08, 3 Ir 3.20-3.27
La (0.5000, 0.0000, 0.2802) (multiplicity 2)  4 Ir 3.03, 2 Zn 3.12
Zn (0.5000, 0.0000, 0.5780) (multiplicity 2)  2 Ir 2.64
Ir (0.0000, 0.0000, 0.7200) (multiplicity 2)  2 Zn 2.64

---

ii) Computed, not measured: CaLaZnIr after structural relaxation at the GGA-PBE level of DFT.

Lattice parameters (Å, degrees): 7.1786 7.1786 7.1786 90.00 90.00 90.00
Last column: nearest neighbours and their distance in Å.
Space group F-43m (No. 216)
Unique sites:
Ca (0.0000, 0.0000, 0.0000) (multiplicity 4)  4 Ir 3.11, 4 Zn 3.11
La (0.0000, 0.0000, 0.5000) (multiplicity 4)  4 Zn 3.11, 4 Ir 3.11
Zn (0.2500, 0.2500, 0.7500) (multiplicity 4)  4 La 3.11, 4 Ca 3.11
Ir (0.2500, 0.2500, 0.2500) (multiplicity 4)  4 La 3.11, 4 Ca 3.11

---

Which structure loses on stability? ii) does.

---

i) Computed, not measured: LiCa4Ir after structural relaxation at the GGA-PBE level of DFT.

Lattice parameters (Å, degrees): 9.2411 13.5930 6.3776 90.00 110.46 90.00
Last column: nearest neighbours and their distance in Å.
Space group C2/c (No. 15)
Unique sites:
Li (0.0000, 0.1247, 0.2500) (multiplicity 4)  6 Ca 3.37-3.47
Ca (0.1041, 0.3338, 0.5566) (multiplicity 8)  2 Ir 2.89-2.92
Ca (0.2302, 0.0750, 0.8668) (multiplicity 8)  2 Ir 2.99-3.02
Ir (0.0000, 0.5001, 0.2500) (multiplicity 4)  8 Ca 2.89-3.02, 2 Ir 3.19

---

ii) Computed, not measured: LiCa4Ir after structural relaxation at the GGA-PBE level of DFT.

Lattice parameters (Å, degrees): 8.8953 8.8953 8.8953 90.00 90.00 90.00
Last column: nearest neighbours and their distance in Å.
Space group F-43m (No. 216)
Unique sites:
Li (0.0000, 0.0000, 0.0000) (multiplicity 4)  12 Ca 3.69, 4 Ir 3.85
Ca (0.1236, 0.1236, 0.6236) (multiplicity 16)  6 Ca 3.11-3.18
Ir (0.2500, 0.2500, 0.2500) (multiplicity 4)  12 Ca 3.68, 4 Li 3.85

---

Which structure loses on stability? ii) does.

---

i) Computed, not measured: LiCa3Ir after structural relaxation at the GGA-PBE level of DFT.

Lattice parameters (Å, degrees): 5.5490 5.5490 5.5490 90.00 90.00 90.00
Last column: nearest neighbours and their distance in Å.
Space group Pm-3m (No. 221)
Unique sites:
Li (0.0000, 0.0000, 0.0000) (multiplicity 1)  12 Ca 3.92
Ca (0.0000, 0.5000, 0.5000) (multiplicity 3)  2 Ir 2.77
Ir (0.5000, 0.5000, 0.5000) (multiplicity 1)  6 Ca 2.77

---

ii) Computed, not measured: LiCa3Ir after structural relaxation at the GGA-PBE level of DFT.

Lattice parameters (Å, degrees): 4.4285 9.1057 6.9807 90.00 90.00 90.00
Last column: nearest neighbours and their distance in Å.
Space group Pmmn (No. 59, origin choice 2)
Unique sites:
Li (0.2500, 0.2500, 0.1048) (multiplicity 2)  1 Ir 2.63
Ca (0.2500, 0.5561, 0.6815) (multiplicity 4)  3 Ir 3.05-3.12, 2 Li 3.20
Ca (0.2500, 0.7500, 0.2452) (multiplicity 2)  2 Ir 2.92
Ir (0.2500, 0.2500, 0.4814) (multiplicity 2)  1 Li 2.63, 2 Ca 2.92

---

Which structure loses on stability? i) does.

---

i) Computed, not measured: CaLuIr2 after structural relaxation at the GGA-PBE level of DFT.

Lattice parameters (Å, degrees): 3.3626 3.3626 6.8807 90.00 90.00 90.00
Last column: nearest neighbours and their distance in Å.
Space group P4/mmm (No. 123)
Unique sites:
Ca (0.0000, 0.0000, 0.0000) (multiplicity 1)  8 Ir 3.02, 4 Ca 3.36
Lu (0.0000, 0.0000, 0.5000) (multiplicity 1)  8 Ir 2.86
Ir (0.5000, 0.5000, 0.2694) (multiplicity 2)  4 Lu 2.86, 4 Ca 3.02, 1 Ir 3.17

---

ii) Computed, not measured: CaLuIr2 after structural relaxation at the GGA-PBE level of DFT.

Lattice parameters (Å, degrees): 6.7407 6.7407 6.7407 90.00 90.00 90.00
Last column: nearest neighbours and their distance in Å.
Space group Fm-3m (No. 225)
Unique sites:
Ca (0.0000, 0.0000, 0.0000) (multiplicity 4)  8 Ir 2.92
Lu (0.0000, 0.0000, 0.5000) (multiplicity 4)  8 Ir 2.92
Ir (0.2500, 0.2500, 0.2500) (multiplicity 8)  4 Ca 2.92, 4 Lu 2.92

---

Which structure loses on stability? ii) does.

---

i) Computed, not measured: NaCaMg2Ir after structural relaxation at the GGA-PBE level of DFT.

Lattice parameters (Å, degrees): 5.1432 5.1432 5.4010 90.00 90.00 90.00
Last column: nearest neighbours and their distance in Å.
Space group P4/mmm (No. 123)
Unique sites:
Na (0.0000, 0.0000, 0.0000) (multiplicity 1)  4 Ca 3.64, 8 Mg 3.73
Ca (0.5000, 0.5000, 0.0000) (multiplicity 1)  2 Ir 2.70
Mg (0.0000, 0.5000, 0.5000) (multiplicity 2)  2 Ir 2.57
Ir (0.5000, 0.5000, 0.5000) (multiplicity 1)  4 Mg 2.57, 2 Ca 2.70

---

ii) Computed, not measured: NaCaMg2Ir after structural relaxation at the GGA-PBE level of DFT.

Lattice parameters (Å, degrees): 5.8408 5.8408 4.9986 90.00 90.00 90.00
Last column: nearest neighbours and their distance in Å.
Space group P4/mmm (No. 123)
Unique sites:
Na (0.0000, 0.0000, 0.0000) (multiplicity 1)  8 Mg 3.84, 4 Ir 4.13
Ca (0.5000, 0.5000, 0.5000) (multiplicity 1)  2 Ir 2.50
Mg (0.0000, 0.5000, 0.5000) (multiplicity 2)  2 Ca 2.92
Ir (0.5000, 0.5000, 0.0000) (multiplicity 1)  2 Ca 2.50

---

Which structure loses on stability? ii) does.

---

i) Computed, not measured: Sr2CaMgIr after structural relaxation at the GGA-PBE level of DFT.

Lattice parameters (Å, degrees): 5.8401 5.8401 5.2835 90.00 90.00 90.00
Last column: nearest neighbours and their distance in Å.
Space group P4/mmm (No. 123)
Unique sites:
Sr (0.0000, 0.5000, 0.0000) (multiplicity 2)  2 Ir 2.92
Ca (0.0000, 0.0000, 0.5000) (multiplicity 1)  8 Sr 3.94, 4 Mg 4.13
Mg (0.5000, 0.5000, 0.5000) (multiplicity 1)  2 Ir 2.64
Ir (0.5000, 0.5000, 0.0000) (multiplicity 1)  2 Mg 2.64, 4 Sr 2.92

---

ii) Computed, not measured: Sr2CaMgIr after structural relaxation at the GGA-PBE level of DFT.

Lattice parameters (Å, degrees): 5.8433 5.8433 5.5255 90.00 90.00 90.00
Last column: nearest neighbours and their distance in Å.
Space group P4/mmm (No. 123)
Unique sites:
Sr (0.0000, 0.5000, 0.0000) (multiplicity 2)  2 Ir 2.92
Ca (0.0000, 0.0000, 0.5000) (multiplicity 1)  2 Ir 2.76
Mg (0.5000, 0.5000, 0.5000) (multiplicity 1)  8 Sr 4.02, 4 Ca 4.13
Ir (0.0000, 0.0000, 0.0000) (multiplicity 1)  2 Ca 2.76, 4 Sr 2.92

---

Which structure loses on stability? i) does.